# 1
A relaxed structure of YCdHg2Rh, computed with GGA-PBE.

Computed properties:
E_tot = -2.61 eV per atom
magnetic moment = 0.00 μB/f.u.
SG = P4/mmm
energy of formation from the pure elements = 0.46 eV/atom

Cell: 5.1324 5.1324 5.1013 Å, 90.00 90.00 90.00°
Element x y z (fractional)
Y 0.0000 0.0000 0.0000
Cd 0.5000 0.5000 0.5000
Hg 0.0000 0.5000 0.5000
Hg 0.5000 0.0000 0.5000
Rh 0.5000 0.5000 0.0000

# 2
A relaxed structure of YCdHgRh, computed with GGA-PBE.

Computed properties:
E_tot = -4.12 eV per atom
magnetic moment = 0.00 μB/f.u.
SG = F-43m
energy of formation from the pure elements = -0.36 eV/atom

Cell: 4.9070 4.9070 4.9070 Å, 60.00 60.00 60.00°
Element x y z (fractional)
Y 0.0000 0.0000 0.0000
Cd 0.5000 0.5000 0.5000
Hg 0.7500 0.7500 0.7500
Rh 0.2500 0.2500 0.2500

# 3
A relaxed structure of ZrCdHg2Rh, computed with GGA-PBE.

Computed properties:
E_tot = -2.87 eV per atom
magnetic moment = 0.27 μB/f.u.
SG = P4/mmm
energy of formation from the pure elements = 0.61 eV/atom

Cell: 5.0810 5.0810 4.9790 Å, 90.00 90.00 90.00°
Element x y z (fractional)
Zr 0.0000 0.0000 0.0000
Cd 0.5000 0.5000 0.0000
Hg 0.0000 0.5000 0.5000
Hg 0.5000 0.0000 0.5000
Rh 0.5000 0.5000 0.5000

- Which of these has the highest magnetic moment?
  ZrCdHg2Rh

- What is the formula in the second record?
  YCdHgRh